First-principles (PBE with a Hubbard U) data for crystalline RbVPb2O4 at its relaxed geometry, as listed in Alexandria.

```
RbVPb2O4
1.0
-0.261 -5.330 0.657
2.129 1.409 4.732
-6.784 2.550 -0.238
O V Rb Pb
4 1 1 2
direct
0.606 0.606 0.782
0.720 0.387 0.107
0.176 0.176 0.782
0.387 0.720 0.107
0.476 0.476 0.951
0.052 0.052 0.104
0.292 0.792 0.584
0.792 0.292 0.584
```

Output
For the mass density, the calculation gives 5.62 Mg/m³. For the total moment, the calculation gives 0.000 μB/f.u. The value obtained for the density of states at the Fermi level is 0.468 states/eV per atom. For the calculated volume, the calculation gives 22.69 Å³ per atom. The value obtained for the total energy is -5.784 eV per atom.